Tb3Sm2Ho3, relaxed, DFT PBE; ΔH_f (0 K) = 0.02 eV per atom; spin magnetization = 0.00 μB/f.u.; final energy = -36.910 eV per cell; energy relative to the lowest polymorph listed for this composition = 0.0173 eV per atom; calculated density = 8.26 g cm⁻³
1.0
5.041 0.000 0.000
0.000 5.040 0.001
-2.521 -2.518 10.066
Tb Sm Ho
3 2 3
Direct
0.624 0.624 0.247
0.376 0.376 0.753
0.500 0.000 0.000
0.750 0.250 0.500
0.250 0.750 0.500
0.124 0.124 0.248
0.000 0.500 0.000
0.876 0.876 0.752